Ba3TbNb2O9 | PBE | relaxed

Properties
- Total magnetization: 0.000 μB per atom
- Space-group type: No. 164
- ρ: 6.5 g/cm³
- Raw formation energy: -2.93 eV/atom

extended XYZ file:
```
15
Lattice="-5.464 1.857 -1.636 2.728 -4.368 -3.075 -3.039 -5.027 4.444" Properties=species:S:1:pos:R:3 pbc="T T T"
O -3.504 -3.538 1.917
Ba 0.000 0.000 0.000
O -1.368 -1.255 -2.355
O -6.101 -2.656 1.139
Ba -2.043 -5.668 0.389
O -4.804 -4.732 -0.322
Ba -3.732 -1.870 -0.655
O -2.270 -3.999 -2.184
Tb -1.520 -2.514 2.222
O -2.732 0.929 -0.818
O 0.326 -4.882 -1.406
O 1.364 -2.184 -1.538
Nb -5.275 -4.422 1.601
Nb -0.500 -3.115 -1.868
O -0.970 -2.806 0.055
```